No. 1
Compound: InGeOF2
Source: Alexandria
Functional: GGA-PBE
Structure: relaxed

## Properties
Space group   P4/mmm, No. 123
ΔE_f (raw)   -1.255 eV/atom
Density   5.13 g/cm³

Lattice parameters (Å, degrees): 4.360 4.360 4.109 90.00 90.00 90.00
Sites, in units of the cell vectors:
Ge  0.500  0.500  0.500
F  0.000  0.500  0.000
F  0.500  0.000  0.000
O  0.000  0.000  0.500
In  0.000  0.000  0.000

***

No. 2
Compound: LiDyHfAl
Source: Alexandria
Functional: GGA-PBE
Structure: relaxed

## Properties
Space group   F-43m, No. 216
Density   7.42 g/cm³
Calculated formation energy   -0.08 eV per atom

Lattice parameters (Å, degrees): 4.914 4.914 4.914 60.00 60.00 60.00
Sites, in units of the cell vectors:
Li  0.000  0.000  0.000
Hf  0.250  0.250  0.250
Al  0.500  0.500  0.500
Dy  0.750  0.750  0.750

***

No. 3
Compound: La2Tb5Sm
Source: Alexandria
Functional: GGA-PBE
Structure: relaxed

## Properties
Space group   P-1, No. 2
Density   7.48 g/cm³
Calculated formation energy   0.09 eV per atom

Lattice parameters (Å, degrees): 8.556 19.696 12.826 39.67 61.29 51.89
Sites, in units of the cell vectors:
La  0.337  0.041  0.739
La  0.817  0.104  0.849
La  0.965  0.329  0.610
La  0.566  0.599  0.262
La  0.434  0.401  0.738
La  0.035  0.671  0.390
La  0.183  0.896  0.151
La  0.663  0.959  0.261
Tb  0.830  0.176  0.033
Tb  0.275  0.993  0.539
Tb  0.765  0.080  0.635
Tb  0.339  0.242  0.153
Tb  0.918  0.301  0.379
Tb  0.323  0.136  0.933
Tb  0.404  0.366  0.519
Tb  0.005  0.587  0.247
Tb  0.084  0.519  0.058
Tb  0.533  0.457  0.905
Tb  0.467  0.543  0.095
Tb  0.916  0.481  0.942
Tb  0.995  0.413  0.753
Tb  0.596  0.634  0.481
Tb  0.677  0.864  0.067
Tb  0.082  0.699  0.621
Tb  0.661  0.758  0.847
Tb  0.235  0.920  0.365
Tb  0.725  0.007  0.461
Tb  0.170  0.824  0.967
Sm  0.934  0.209  0.213
Sm  0.415  0.287  0.342
Sm  0.585  0.713  0.658
Sm  0.066  0.791  0.787